DFT (PBE-GGA) results for Ce6In2HOs after structural relaxation.

Results
SG: P-1
Final energy (eV per atom): -5.76

Unit cell a=6.9787 b=7.1929 c=7.1994 alpha=60.45 beta=61.03 gamma=61.12
Fractional coordinates of all 10 atoms:
Ce 0.2062 0.2497 0.2502
Ce 0.2073 0.7498 0.7498
Ce 0.2443 0.7569 0.2569
Ce 0.7557 0.2431 0.7431
Ce 0.7927 0.2502 0.2502
Ce 0.7938 0.7503 0.7498
In 0.2600 0.2390 0.7391
In 0.7400 0.7610 0.2609
H 0.0000 0.0000 0.5000
Os 0.5000 0.5000 0.0000